# 1
{
  "formula": "MnCu",
  "functional": "PBE-GGA",
  "state": "relaxed",
  "lattice_angstrom": [[0.000, 3.516, 6.779], [2.039, 0.000, 6.779], [2.039, 3.516, 0.000]],
  "species": ["Mn", "Mn", "Mn", "Mn", "Cu", "Cu", "Cu", "Cu"],
  "fractional_positions": [[0.042, 0.042, 0.208], [0.208, 0.208, 0.042], [0.792, 0.792, 0.958], [0.958, 0.958, 0.792], [0.210, 0.540, 0.210], [0.460, 0.790, 0.460], [0.540, 0.210, 0.540], [0.790, 0.460, 0.790]],
  "formation_energy_ev_per_atom": 0.50,
  "spacegroup": "No. 70",
  "density_g_cm3": 8.10
}

# 2
{
  "formula": "BaCaRu2",
  "functional": "PBE-GGA",
  "state": "relaxed",
  "lattice_angstrom": [[5.248, -2.105, 0.000], [5.248, 2.105, 0.000], [-3.919, 0.000, 5.855]],
  "species": ["Ba", "Ca", "Ru", "Ru"],
  "fractional_positions": [[0.000, 0.000, 0.000], [0.500, 0.500, 0.500], [0.254, 0.254, 0.578], [0.746, 0.746, 0.422]],
  "formation_energy_ev_per_atom": 0.35,
  "spacegroup": "No. 12",
  "density_g_cm3": 4.87
}

# 3
{
  "formula": "CuNi2Ir",
  "functional": "PBE-GGA",
  "state": "relaxed",
  "lattice_angstrom": [[4.278, -1.302, 0.000], [4.278, 1.302, 0.000], [-0.804, 0.000, 4.379]],
  "species": ["Cu", "Ni", "Ni", "Ir"],
  "fractional_positions": [[0.000, 0.000, 0.000], [0.249, 0.249, 0.772], [0.501, 0.501, 0.507], [0.754, 0.754, 0.278]],
  "formation_energy_ev_per_atom": 0.05,
  "spacegroup": "No. 8",
  "density_g_cm3": 12.70
}

# 4
{
  "formula": "RbSb2TePt",
  "functional": "PBE-GGA",
  "state": "relaxed",
  "lattice_angstrom": [[5.296, 0.000, 0.000], [0.000, 5.296, 0.000], [0.000, 0.000, 5.909]],
  "species": ["Rb", "Sb", "Sb", "Te", "Pt"],
  "fractional_positions": [[0.000, 0.000, 0.000], [0.000, 0.500, 0.500], [0.500, 0.000, 0.500], [0.500, 0.500, 0.000], [0.500, 0.500, 0.500]],
  "dft_energy_ev_per_atom": -3.74,
  "spacegroup": "No. 123",
  "density_g_cm3": 6.53
}